An optimized crystal structure of Pm6Ho3Er. Source: Alexandria, functional PBE.

Geometry as extended XYZ:
```
20
Lattice="-4.8010 3.8865 -1.7026 -7.4165 -9.0487 0.2577 3.1182 7.5306 8.3974" Properties=species:S:1:pos:R:3 pbc="T T T"
Pm -8.7778 -7.5402 -0.1537
Ho -4.1596 5.6787 0.7835
Pm -2.1406 3.8664 7.0787
Pm -5.0185 2.1763 5.4164
Pm -2.3360 -1.2203 2.1549
Ho -7.0170 4.6695 6.5371
Pm -7.6577 -0.9322 -0.3740
Er -8.2303 -4.4119 0.6668
Pm -9.1626 -1.4637 2.6565
Pm -3.4642 2.7252 2.2866
Er 1.3667 4.9705 7.0786
Pm -3.8903 -1.7693 5.2847
Pm -3.8638 5.6413 4.5987
Ho -4.4018 -0.4235 -0.4071
Ho -7.2591 -1.4327 5.3465
Pm -0.9848 10.4455 6.8711
Ho -1.7320 0.9117 4.8278
Pm -5.6695 -2.9216 2.2000
Ho -5.8179 0.2024 2.6742
Pm -0.6356 4.3979 4.0482
```

Output
calculated formation energy = 0.126 eV per atom
size of the total moment = 0.0 μB per formula unit
electronic total energy = -91.08 eV per cell
offset from the most stable computed form = 0.0 kJ/mol of atoms



An optimized crystal structure of Pm3Ho5Er2. Source: Alexandria, functional PBE.

Geometry as extended XYZ:
```
20
Lattice="8.4162 1.6142 -3.9362 0.2705 8.5044 -3.9870 -1.7530 -1.9467 10.7766" Properties=species:S:1:pos:R:3 pbc="T T T"
Ho 0.8827 3.0811 0.8074
Er 4.1160 2.7113 -0.3506
Er 1.7404 8.2556 -1.9799
Pm 1.0843 3.4428 4.9094
Pm 6.3938 1.3087 -2.7374
Ho 5.0287 7.9519 -2.9931
Ho 3.5552 2.1472 2.8337
Ho 3.3785 6.0246 0.0196
Ho 4.5820 3.3810 5.5352
Pm 5.8494 4.7290 -2.0561
Ho 1.9050 0.2199 5.8465
Er 2.8178 5.4605 3.2040
Pm -0.0633 6.1535 -0.4592
Ho 2.3517 4.7908 -2.6818
Ho 6.0511 5.0907 2.0460
Er 5.1933 -0.0838 4.8332
Pm 6.9971 2.0184 3.3126
Ho 7.4672 2.5985 0.0867
Pm 0.5399 6.8631 5.5908
Ho -0.5335 5.5733 2.7667
```

Output
calculated formation energy = 0.196 eV per atom
size of the total moment = 0.0 μB per formula unit
electronic total energy = -88.62 eV per cell
offset from the most stable computed form = 0.0 kJ/mol of atoms



An optimized crystal structure of Pm14HoEr. Source: Alexandria, functional PBE.

Geometry as extended XYZ:
```
16
Lattice="-6.9503 -0.0337 2.1334 -0.0198 -7.2677 -0.1976 3.0106 -0.2748 9.8040" Properties=species:S:1:pos:R:3 pbc="T T T"
Pm -4.5908 -4.7118 6.6458
Pm 1.3783 -6.5701 7.4682
Er -6.0852 -0.9367 1.8424
Pm -6.0925 -4.5700 1.7428
Pm -2.6106 -0.9226 0.7758
Pm -0.1402 -6.4315 2.5234
Pm -0.1286 -2.7961 2.6217
Pm -4.5764 -1.0777 6.7432
Pm -1.1010 -1.0562 5.6766
Pm -3.6051 -2.8145 3.6896
Pm -3.6168 -6.4501 3.5905
Ho -2.6178 -4.5560 0.6762
Pm -2.0872 -2.9530 8.6329
Pm -1.1154 -4.6903 5.5792
Pm -2.0983 -6.5887 8.5353
Pm 1.3899 -2.9347 7.5665
```

Output
calculated formation energy = 0.015 eV per atom
size of the total moment = 0.0 μB per formula unit
electronic total energy = -75.41 eV per cell



An optimized crystal structure of Pm2Ho4Er3. Source: Alexandria, functional PBE.

Geometry as extended XYZ:
```
18
Lattice="5.7771 1.6385 1.1731 2.3334 10.9342 0.7169 2.3334 4.2018 10.1201" Properties=species:S:1:pos:R:3 pbc="T T T"
Ho 4.9852 11.3830 3.0412
Ho 5.7481 10.5787 9.5512
Ho 7.8737 7.3660 10.3825
Pm 3.3526 8.5644 8.1950
Ho 4.6958 6.1959 2.4590
Er 3.7777 8.6353 4.7932
Er 2.2951 3.5884 1.1790
Ho 8.6366 13.2696 7.5236
Pm 4.2027 5.4378 5.9565
Er 8.1488 13.1862 10.8312
Er 6.6662 8.1392 7.2169
Pm 6.2412 11.3367 6.0537
Pm 7.0912 8.2102 3.8151
Er 5.2602 13.6830 8.4064
Ho 2.5701 9.4086 1.6276
Ho 5.4587 5.3916 8.9689
Er 5.1836 3.0916 3.6037
Ho 1.8072 3.5050 4.4866
```

Output
calculated formation energy = 0.095 eV per atom
size of the total moment = 0.0 μB per formula unit
electronic total energy = -81.29 eV per cell



An optimized crystal structure of Pm3Ho4Er. Source: Alexandria, functional PBE.

Geometry as extended XYZ:
```
8
Lattice="0.0074 3.5164 0.4180 -3.7025 -0.5077 4.3193 9.2786 0.6312 9.3741" Properties=species:S:1:pos:R:3 pbc="T T T"
Pm -1.8476 1.5043 2.3687
Ho 2.4012 0.7589 8.4707
Pm -0.2824 1.0475 6.1470
Ho 4.7809 0.5045 10.5436
Pm 5.8658 2.5924 7.9644
Er 0.0000 0.0000 0.0000
Ho 0.8025 3.1354 3.5678
Ho 3.1822 2.8810 5.6407
```

Output
calculated formation energy = 0.192 eV per atom
size of the total moment = 0.0 μB per formula unit
electronic total energy = -35.59 eV per cell
offset from the most stable computed form = 16.8 kJ/mol of atoms



An optimized crystal structure of PmHo7Er3. Source: Alexandria, functional PBE.

Geometry as extended XYZ:
```
11
Lattice="-1.7242 5.7016 -6.5158 -6.3618 -7.3818 -1.2775 -1.4339 0.3182 5.3028" Properties=species:S:1:pos:R:3 pbc="T T T"
Ho -3.1745 1.5980 -3.8068
Ho -1.3084 -0.7857 -0.3067
Pm -4.7600 -0.6810 -1.2452
Er -3.1809 -3.6909 -0.6387
Ho -8.2116 -0.5762 -2.1837
Ho -6.3455 -2.9600 1.3163
Ho -3.5444 -1.4237 1.9819
Er -1.4441 1.4769 2.3765
Er -8.0759 -2.8388 -4.8670
Ho -1.5791 3.0099 -0.6065
Ho -5.9756 0.0617 -4.4723
```

Output
calculated formation energy = 0.149 eV per atom
size of the total moment = 0.0 μB per formula unit
electronic total energy = -48.85 eV per cell
offset from the most stable computed form = 0.0 kJ/mol of atoms



An optimized crystal structure of Pm12HoEr7. Source: Alexandria, functional PBE.

Geometry as extended XYZ:
```
20
Lattice="6.0444 0.0000 -1.2440 -3.1546 9.7936 -5.1236 0.2649 0.0000 11.4912" Properties=species:S:1:pos:R:3 pbc="T T T"
Pm 4.6516 3.4650 1.0688
Pm 4.4299 4.0525 6.2384
Pm 1.6528 3.4512 9.1550
Er 3.0222 0.0000 -0.6220
Pm -1.4970 6.3287 4.0548
Er 5.3490 0.0146 1.7127
Pm 1.2850 5.7548 1.1209
Er 1.6285 7.3997 4.0438
Pm -1.2753 5.7411 -1.1148
Pm 0.1300 1.7023 5.7542
Pm 2.5978 0.0138 3.5421
Er -1.6234 7.4143 -4.0190
Er -2.1944 9.7790 3.4109
Pm 0.5569 9.7798 1.5816
Ho 0.0000 0.0000 0.0000
Pm 1.5018 6.3425 -4.0314
Pm 3.0247 8.0914 -0.6306
Er 1.5261 2.3940 1.0798
Er 4.7780 2.3793 9.1426
Pm 1.8697 4.0388 4.0027
```

Output
calculated formation energy = 0.244 eV per atom
size of the total moment = 0.0 μB per formula unit
electronic total energy = -88.64 eV per cell
offset from the most stable computed form = 1.0 kJ/mol of atoms



An optimized crystal structure of PmHo4Er5. Source: Alexandria, functional PBE.

Geometry as extended XYZ:
```
10
Lattice="6.2643 0.0000 0.0000 3.1322 7.1625 0.0000 3.1322 0.0000 7.1625" Properties=species:S:1:pos:R:3 pbc="T T T"
Ho 5.9677 2.8592 5.0238
Er 2.8149 4.4580 0.6416
Ho 2.8355 2.1387 2.8592
Ho 5.9677 4.3033 2.1387
Er 9.0792 2.7045 6.5209
Ho 9.0999 5.0238 4.3033
Er 5.9471 6.5209 4.4580
Er 5.9471 0.6416 2.7045
Pm 1.3958 0.0000 0.0000
Er 4.2564 0.0000 0.0000
```

Output
calculated formation energy = 0.308 eV per atom
size of the total moment = 0.0 μB per formula unit
electronic total energy = -42.80 eV per cell
offset from the most stable computed form = 27.6 kJ/mol of atoms



An optimized crystal structure of Pm2HoEr4. Source: Alexandria, functional PBE.

Geometry as extended XYZ:
```
7
Lattice="-0.4590 -2.4458 2.5991 -1.5242 -0.4912 -3.2223 17.4276 -8.5068 -4.9274" Properties=species:S:1:pos:R:3 pbc="T T T"
Er 14.8707 -10.6718 -4.9255
Er 2.1814 -4.9680 -1.7990
Pm 5.6954 -5.2165 -1.4123
Pm 0.9741 -2.4183 0.3871
Ho 10.3328 -7.9756 -3.1897
Er 13.7793 -8.1869 -2.7799
Er 7.6944 -5.9643 -4.2538
```

Output
calculated formation energy = 0.007 eV per atom
size of the total moment = 0.0 μB per formula unit
electronic total energy = -32.28 eV per cell
offset from the most stable computed form = 0.0 kJ/mol of atoms



An optimized crystal structure of PmHoEr6. Source: Alexandria, functional PBE.

Geometry as extended XYZ:
```
8
Lattice="-2.1412 -4.5937 4.3309 6.0833 -0.8420 2.1342 -0.2154 1.5933 6.7875" Properties=species:S:1:pos:R:3 pbc="T T T"
Er 4.3716 -0.3106 5.3022
Er 3.3914 -3.1167 3.9482
Pm 0.0000 0.0000 0.0000
Er 0.3353 -0.7256 9.3044
Er 3.1016 -2.3823 7.5888
Er 0.6251 -1.4601 5.6638
Er -0.6449 -3.5318 7.9504
Ho 3.0417 -0.4210 1.0671
```

Output
calculated formation energy = 0.212 eV per atom
size of the total moment = 0.0 μB per formula unit
electronic total energy = -35.01 eV per cell
offset from the most stable computed form = 0.0 kJ/mol of atoms